Entry 1:
# PBE Ta3PbS6, relaxed
data_Ta3PbS6
_chemical_formula_sum 'Ta6 Pb2 S12'
_symmetry_space_group_name_H-M 'P 63/m c m'
_symmetry_Int_Tables_number 193
_symmetry_space_group_name_Hall '-P 6c 2'
_cell_length_a 5.8077
_cell_length_b 5.8077
_cell_length_c 15.0006
_cell_angle_alpha 90.00
_cell_angle_beta 90.00
_cell_angle_gamma 120.00
loop_
_atom_site_label
_atom_site_fract_x
_atom_site_fract_y
_atom_site_fract_z
Ta1 0.0000 0.0000 0.2500
Ta2 0.3333 0.6667 0.2500
Pb1 0.0000 0.0000 0.0000
S1 0.0000 0.3367 0.1462
# **E**: -7.45 eV per atom

Entry 2:
# PBE RbScCoTe3, relaxed
data_RbScCoTe3
_chemical_formula_sum 'Rb2 Sc2 Co2 Te6'
_symmetry_space_group_name_H-M 'P 1 21/m 1'
_symmetry_Int_Tables_number 11
_cell_length_a 10.018
_cell_length_b 4.119
_cell_length_c 10.413
_cell_angle_alpha 90.00
_cell_angle_beta 114.79
_cell_angle_gamma 90.00
loop_
_symmetry_equiv_pos_as_xyz
'x,y,z'
'-x,-y,-z'
'-x,y+1/2,-z'
'x,-y+1/2,z'
loop_
_atom_site_label
_atom_site_fract_x
_atom_site_fract_y
_atom_site_fract_z
Rb1 0.213 0.250 0.241
Sc1 0.330 0.750 0.857
Co1 0.076 0.250 0.588
Te1 0.120 0.250 0.850
Te2 0.198 0.750 0.540
Te3 0.470 0.750 0.164
# **E**: -4.77 eV per atom

Entry 3:
# PBE TmGe, relaxed
data_TmGe
_chemical_formula_sum 'Tm1 Ge1'
_symmetry_space_group_name_H-M 'P -6 m 2'
_symmetry_Int_Tables_number 187
_symmetry_space_group_name_Hall 'P -6 2'
_cell_length_a 3.5370
_cell_length_b 3.5370
_cell_length_c 4.2943
_cell_angle_alpha 90.00
_cell_angle_beta 90.00
_cell_angle_gamma 120.00
loop_
_atom_site_label
_atom_site_fract_x
_atom_site_fract_y
_atom_site_fract_z
Tm1 0.0000 0.0000 0.0000
Ge1 0.3333 0.6667 0.5000
# **E**: -4.98 eV per atom

Entry 4:
# PBE CuNiGeMo, relaxed
data_CuNiGeMo
_chemical_formula_sum 'Cu4 Ni4 Ge4 Mo4'
_symmetry_space_group_name_H-M 'F -4 3 m'
_symmetry_Int_Tables_number 216
_symmetry_space_group_name_Hall 'F -4 2 3'
_cell_length_a 5.992
_cell_length_b 5.992
_cell_length_c 5.992
_cell_angle_alpha 90.00
_cell_angle_beta 90.00
_cell_angle_gamma 90.00
loop_
_atom_site_label
_atom_site_fract_x
_atom_site_fract_y
_atom_site_fract_z
Cu1 0.000 0.000 0.000
Ni1 0.250 0.250 0.250
Ge1 0.250 0.250 0.750
Mo1 0.000 0.000 0.500
# **E**: -6.07 eV per atom

Entry 5:
# PBE TlNiAuSe3, relaxed
data_TlNiAuSe3
_chemical_formula_sum 'Tl4 Ni4 Au4 Se12'
_symmetry_space_group_name_H-M 'C m c m'
_symmetry_Int_Tables_number 63
_symmetry_space_group_name_Hall '-C 2c 2'
_cell_length_a 3.608
_cell_length_b 14.216
_cell_length_c 10.603
_cell_angle_alpha 90.00
_cell_angle_beta 90.00
_cell_angle_gamma 90.00
loop_
_atom_site_label
_atom_site_fract_x
_atom_site_fract_y
_atom_site_fract_z
Tl1 0.000 0.207 0.250
Ni1 0.000 0.500 0.000
Au1 0.000 0.128 0.750
Se1 0.000 0.111 0.513
Se2 0.000 0.473 0.750
# **E**: -3.76 eV per atom

Entry 6:
# PBE BaLiNiBi, relaxed
data_BaLiNiBi
_chemical_formula_sum 'Ba4 Li4 Ni4 Bi4'
_symmetry_space_group_name_H-M 'F -4 3 m'
_symmetry_Int_Tables_number 216
_symmetry_space_group_name_Hall 'F -4 2 3'
_cell_length_a 7.410
_cell_length_b 7.410
_cell_length_c 7.410
_cell_angle_alpha 90.00
_cell_angle_beta 90.00
_cell_angle_gamma 90.00
loop_
_atom_site_label
_atom_site_fract_x
_atom_site_fract_y
_atom_site_fract_z
Ba1 0.000 0.000 0.000
Li1 0.250 0.250 0.250
Ni1 0.000 0.000 0.500
Bi1 0.250 0.250 0.750
# **E**: -3.35 eV per atom

Entry 7:
# PBE CsB4Ir, relaxed
data_CsB4Ir
_chemical_formula_sum 'Cs1 B4 Ir1'
_symmetry_space_group_name_H-M 'P 6/m m m'
_symmetry_Int_Tables_number 191
_symmetry_space_group_name_Hall '-P 6 2'
_cell_length_a 3.1888
_cell_length_b 3.1888
_cell_length_c 8.6073
_cell_angle_alpha 90.00
_cell_angle_beta 90.00
_cell_angle_gamma 120.00
loop_
_atom_site_label
_atom_site_fract_x
_atom_site_fract_y
_atom_site_fract_z
Cs1 0.0000 0.0000 0.0000
B1 0.3333 0.6667 0.3240
Ir1 0.0000 0.0000 0.5000
# **E**: -5.55 eV per atom

Entry 8:
# PBE SmMgZnP2, relaxed
data_SmMgZnP2
_chemical_formula_sum 'Sm1 Mg1 Zn1 P2'
_symmetry_space_group_name_H-M 'P 3 m 1'
_symmetry_Int_Tables_number 156
_cell_length_a 4.1110
_cell_length_b 4.1110
_cell_length_c 6.8871
_cell_angle_alpha 90.00
_cell_angle_beta 90.00
_cell_angle_gamma 120.00
loop_
_symmetry_equiv_pos_as_xyz
'x,y,z'
'-y,x-y,z'
'-x+y,-x,z'
'-y,-x,z'
'-x+y,y,z'
'x,x-y,z'
loop_
_atom_site_label
_atom_site_fract_x
_atom_site_fract_y
_atom_site_fract_z
Sm1 0.0000 0.0000 0.0000
Mg1 0.3333 0.6667 0.3705
Zn1 0.6667 0.3333 0.6451
P1 0.3333 0.6667 0.7378
P2 0.6667 0.3333 0.2508
# **E**: -4.49 eV per atom

Entry 9:
# PBE Na4SnPdO6, relaxed
data_Na4SnPdO6
_chemical_formula_sum 'Na8 Sn2 Pd2 O12'
_symmetry_space_group_name_H-M 'C 1 2 1'
_symmetry_Int_Tables_number 5
_cell_length_a 5.464
_cell_length_b 9.450
_cell_length_c 5.600
_cell_angle_alpha 90.00
_cell_angle_beta 109.03
_cell_angle_gamma 90.00
loop_
_symmetry_equiv_pos_as_xyz
'x,y,z'
'-x,y,-z'
'x+1/2,y+1/2,z'
'-x+1/2,y+1/2,-z'
loop_
_atom_site_label
_atom_site_fract_x
_atom_site_fract_y
_atom_site_fract_z
Na1 0.000 0.000 0.000
Na2 0.000 0.155 0.500
Na3 0.000 0.509 0.500
Na4 0.000 0.842 0.500
Sn1 0.000 0.333 0.000
Pd1 0.000 0.668 0.000
O1 0.210 0.503 0.215
O2 0.241 0.681 0.785
O3 0.250 0.317 0.782
# **E**: -5.07 eV per atom

Entry 10:
# PBE KPaO3, relaxed
data_KPaO3
_chemical_formula_sum 'K6 Pa6 O18'
_symmetry_space_group_name_H-M 'R -3 c'
_symmetry_Int_Tables_number 167
_symmetry_space_group_name_Hall '-R 3 2"c'
_cell_length_a 6.4003
_cell_length_b 6.4003
_cell_length_c 14.4524
_cell_angle_alpha 90.00
_cell_angle_beta 90.00
_cell_angle_gamma 120.00
loop_
_atom_site_label
_atom_site_fract_x
_atom_site_fract_y
_atom_site_fract_z
K1 0.0000 0.0000 0.0000
Pa1 0.0000 0.0000 0.2500
O1 0.0000 0.3168 0.2500
# **E**: -7.07 eV per atom

Entry 11:
# PBE Sb2Pd9, relaxed
data_Sb2Pd9
_chemical_formula_sum 'Sb2 Pd9'
_symmetry_space_group_name_H-M 'P -3 m 1'
_symmetry_Int_Tables_number 164
_symmetry_space_group_name_Hall '-P 3 2"'
_cell_length_a 2.9026
_cell_length_b 2.9026
_cell_length_c 32.9189
_cell_angle_alpha 90.00
_cell_angle_beta 90.00
_cell_angle_gamma 120.00
loop_
_atom_site_label
_atom_site_fract_x
_atom_site_fract_y
_atom_site_fract_z
Sb1 0.3333 0.6667 0.3350
Pd1 0.0000 0.0000 0.0000
Pd2 0.0000 0.0000 0.1995
Pd3 0.3333 0.6667 0.1323
Pd4 0.3333 0.6667 0.7319
Pd5 0.3333 0.6667 0.9339
# **E**: -4.91 eV per atom

Entry 12:
# PBE TaCuNi2, relaxed
data_TaCuNi2
_chemical_formula_sum 'Ta4 Cu4 Ni8'
_symmetry_space_group_name_H-M 'F -4 3 m'
_symmetry_Int_Tables_number 216
_symmetry_space_group_name_Hall 'F -4 2 3'
_cell_length_a 5.890
_cell_length_b 5.890
_cell_length_c 5.890
_cell_angle_alpha 90.00
_cell_angle_beta 90.00
_cell_angle_gamma 90.00
loop_
_atom_site_label
_atom_site_fract_x
_atom_site_fract_y
_atom_site_fract_z
Ta1 0.000 0.000 0.000
Cu1 0.250 0.250 0.250
Ni1 0.000 0.000 0.500
Ni2 0.250 0.250 0.750
# **Formation energy**: -0.031 eV per atom
# **E**: -6.71 eV per atom

Q: What is the formula in the fourth record?
A: CuNiGeMo